VASP calculation (PBE) on a relaxed KBr3 crystal.

Structure (CIF):
```
data_KBr3
_chemical_formula_sum 'K1 Br3'
_cell_length_a 5.684
_cell_length_b 5.684
_cell_length_c 5.684
_cell_angle_alpha 60.00
_cell_angle_beta 60.00
_cell_angle_gamma 60.00
_symmetry_space_group_name_H-M 'P 1'
_symmetry_Int_Tables_number 1
_symmetry_space_group_name_Hall 'P 1'
loop_
_atom_site_label
_atom_site_type_symbol
_atom_site_fract_x
_atom_site_fract_y
_atom_site_fract_z
Br1 Br 0.500 0.500 0.500
Br2 Br 0.250 0.250 0.250
Br3 Br 0.750 0.750 0.750
K1 K 0.000 0.000 0.000
```

- DFT total energy (eV/cell) = -8.1
- total moment (μB per cell) = 2.00

***

VASP calculation (PBE) on a relaxed KBr crystal.

Structure (CIF):
```
data_KBr
_chemical_formula_sum 'K2 Br2'
_cell_length_a 5.763
_cell_length_b 5.763
_cell_length_c 5.763
_cell_angle_alpha 60.00
_cell_angle_beta 60.00
_cell_angle_gamma 60.00
_symmetry_space_group_name_H-M 'P 1'
_symmetry_Int_Tables_number 1
_symmetry_space_group_name_Hall 'P 1'
loop_
_atom_site_label
_atom_site_type_symbol
_atom_site_fract_x
_atom_site_fract_y
_atom_site_fract_z
K1 K 0.750 0.750 0.750
K2 K 0.500 0.500 0.500
Br1 Br 0.000 0.000 0.000
Br2 Br 0.250 0.250 0.250
```

- DFT total energy (eV/cell) = -10.7
- total moment (μB per cell) = 0.00

***

| no. | formation energy from raw total energies (eV per atom) |
| --- | --- |
| 1 | -0.490 |
| 2 | -1.288 |